First-principles (PBE) data for a geometry-optimized NaTeCl3 structure, as listed in Alexandria.

Cell lengths 6.928, 7.421, 8.135 Å; angles 63.11, 72.19, 81.65 degrees
Fractional positions:
Na  0.012  0.150  0.186
Na  0.988  0.850  0.814
Te  0.496  0.322  0.683
Te  0.504  0.678  0.317
Cl  0.245  0.488  0.877
Cl  0.247  0.908  0.443
Cl  0.274  0.005  0.908
Cl  0.726  0.995  0.092
Cl  0.753  0.092  0.557
Cl  0.755  0.512  0.123

Properties
The value obtained for the formation energy (no corrections) is -0.9308 eV per atom. As for the theoretical density: 2.4 Mg/m³. The calculation puts the energy above the most stable polymorph in this dataset at 0.000 eV per atom.

---

First-principles (PBE) data for a geometry-optimized Na2Te2Cl structure, as listed in Alexandria.

Cell lengths 6.248, 6.248, 6.248 Å; angles 122.36, 122.36, 85.97 degrees
Fractional positions:
Na  0.250  0.750  0.500
Na  0.750  0.250  0.500
Te  0.149  0.149  0.000
Te  0.851  0.851  0.000
Cl  0.500  0.500  0.000

Properties
The value obtained for the formation energy (no corrections) is -0.6909 eV per atom. As for the theoretical density: 3.4 Mg/m³. As for the density of states at the Fermi level: 4.3 states/eV/f.u.

---

First-principles (PBE) data for a geometry-optimized Na2TeCl structure, as listed in Alexandria.

Cell lengths 3.518, 3.518, 8.003 Å; angles 90.00, 90.00, 90.00 degrees
Fractional positions:
Na  0.000  0.000  0.215
Na  0.000  0.000  0.785
Te  0.500  0.500  0.500
Cl  0.500  0.500  0.000

Properties
The value obtained for the formation energy (no corrections) is -1.1261 eV per atom. As for the theoretical density: 3.5 Mg/m³. As for the density of states at the Fermi level: 0.9 states/eV/f.u. The calculation puts the energy above the most stable polymorph in this dataset at 0.026 eV per atom.